Computed, not measured: a relaxed Pm14DyAl crystal at the PBE level of DFT.

Properties
Space-group type   Amm2
E_form   0.0190 eV per atom

Cell: 11.261 6.981 6.981 Å, 74.57 90.00 90.00°
Atoms (fractional coordinates):
Pm (0.000, 0.000, 0.000)
Pm (0.000, 0.430, 0.430)
Pm (0.000, 0.503, 0.927)
Pm (0.000, 0.927, 0.503)
Pm (0.242, 0.794, 0.794)
Pm (0.267, 0.228, 0.228)
Pm (0.268, 0.301, 0.713)
Pm (0.268, 0.713, 0.301)
Pm (0.500, 0.515, 0.938)
Pm (0.500, 0.938, 0.515)
Pm (0.732, 0.301, 0.713)
Pm (0.732, 0.713, 0.301)
Pm (0.733, 0.228, 0.228)
Pm (0.758, 0.794, 0.794)
Dy (0.500, 0.997, 0.997)
Al (0.500, 0.442, 0.442)



Computed, not measured: a relaxed BiN2F2 crystal at the PBE level of DFT.

Properties
Space-group type   P4/mmm
ΔE to the lowest computed polymorph   1648 meV per atom
Formation energy (no corrections)   0.56 eV per atom

Cell: 4.585 4.585 4.906 Å, 90.00 90.00 90.00°
Atoms (fractional coordinates):
Bi (0.000, 0.000, 0.000)
N (0.000, 0.000, 0.500)
N (0.500, 0.500, 0.500)
F (0.000, 0.500, 0.000)
F (0.500, 0.000, 0.000)



Computed, not measured: a relaxed Pu2HfNi3H12 crystal at the PBE level of DFT.

Properties
Space-group type   R-3m
Total energy   -5.56 eV per atom

Cell: 5.835 5.835 5.835 Å, 62.70 62.70 62.70°
Atoms (fractional coordinates):
Pu (0.106, 0.106, 0.106)
Pu (0.894, 0.894, 0.894)
Hf (0.500, 0.500, 0.500)
Ni (0.000, 0.500, 0.500)
Ni (0.500, 0.000, 0.500)
Ni (0.500, 0.500, 0.000)
H (0.086, 0.633, 0.633)
H (0.227, 0.227, 0.626)
H (0.227, 0.626, 0.227)
H (0.367, 0.367, 0.914)
H (0.367, 0.914, 0.367)
H (0.374, 0.773, 0.773)
H (0.626, 0.227, 0.227)
H (0.633, 0.086, 0.633)
H (0.633, 0.633, 0.086)
H (0.773, 0.374, 0.773)
H (0.773, 0.773, 0.374)
H (0.914, 0.367, 0.367)



Computed, not measured: a relaxed Er3CdPd6 crystal at the PBE level of DFT.

Properties
Space-group type   P2_1/m
ΔE to the lowest computed polymorph   0 meV per atom
E_form   -0.8110 eV per atom

Cell: 8.019 4.895 10.332 Å, 90.00 111.83 90.00°
Atoms (fractional coordinates):
Er (0.052, 0.250, 0.212)
Er (0.308, 0.250, 0.014)
Er (0.350, 0.750, 0.381)
Er (0.650, 0.250, 0.619)
Er (0.692, 0.750, 0.986)
Er (0.948, 0.750, 0.788)
Cd (0.125, 0.750, 0.571)
Cd (0.875, 0.250, 0.429)
Pd (0.096, 0.250, 0.719)
Pd (0.116, 0.750, 0.082)
Pd (0.274, 0.250, 0.519)
Pd (0.313, 0.750, 0.862)
Pd (0.485, 0.250, 0.320)
Pd (0.491, 0.250, 0.827)
Pd (0.509, 0.750, 0.173)
Pd (0.515, 0.750, 0.680)
Pd (0.687, 0.250, 0.138)
Pd (0.726, 0.750, 0.481)
Pd (0.884, 0.250, 0.918)
Pd (0.904, 0.750, 0.281)